VASP calculation (PBE) on crystalline La6PmMg at its relaxed geometry.

a b c (Å): 5.189 5.189 10.359
angles (deg): 90.00 90.00 90.00
Fractional positions:
La (0.000, 0.000, 0.000)
La (0.000, 0.000, 0.500)
La (0.000, 0.500, 0.247)
La (0.000, 0.500, 0.753)
La (0.500, 0.000, 0.247)
La (0.500, 0.000, 0.753)
Pm (0.500, 0.500, 0.500)
Mg (0.500, 0.500, 0.000)

## Properties
The calculation puts the energy above the most stable polymorph in this dataset at 0 meV per atom. As for the formation energy: -0.0104 eV/atom. The total moment comes out at 0.0 μB per cell. As for the calculated total energy: -4.4991 eV per atom.